Here is crystalline CsSm2CuSeS3 at its relaxed geometry from the Open Quantum Materials Database. Energies are from PBE.

Calculated volume   26.4 Å³ per atom
Total energy   -85.22 eV per cell

a = 7.497 Å, b = 7.497 Å, c = 14.213 Å
α = 90.00°, β = 90.00°, γ = 148.15°
Element x y z (fractional)
Cs1 0.112 0.888 0.750
Cs2 0.888 0.112 0.250
Sm1 0.366 0.634 0.557
Sm2 0.366 0.634 0.943
Sm3 0.634 0.366 0.057
Sm4 0.634 0.366 0.443
Cu1 0.172 0.828 0.250
Cu2 0.828 0.172 0.750
Se1 0.423 0.577 0.750
Se2 0.577 0.423 0.250
S1 0.000 0.000 0.000
S2 0.000 0.000 0.500
S3 0.254 0.746 0.107
S4 0.254 0.746 0.393
S5 0.746 0.254 0.607
S6 0.746 0.254 0.893